# 1
The following is a GGA-PBE calculation of an optimized crystal structure of KNa5Sr, from Alexandria.

- energy (eV/atom) = -1.201
- distance to the lowest polymorph of the same formula (eV per atom) = 0.059
- E_form (kJ/mol of formula units) = 93
- N(E_F) (states/eV per cell) = 5.8

POSCAR file:
```
KNa5Sr
1.0
-1.2231 6.2411 2.1550
-0.7219 -2.3100 6.2637
7.5476 1.0456 1.2554
K Na Sr
1 5 1
Direct
0.0000 0.0000 0.5000 K
0.0000 0.5000 0.2476 Na
0.0000 0.5000 0.7524 Na
0.5000 0.5000 0.5000 Na
0.5000 0.0000 0.2476 Na
0.5000 0.0000 0.7524 Na
0.5000 0.5000 0.0000 Sr
```

***

# 2
The following is a GGA-PBE calculation of an optimized crystal structure of UTlPb2Se4, from Alexandria.

- energy (eV/atom) = -4.982
- energy relative to the elements, uncorrected (kJ/mol of formula units) = -467
- N(E_F) (states/eV per cell) = 6.0

POSCAR file:
```
UTlPb2Se4
1.0
6.1935 0.0032 0.0000
-0.0031 6.1935 0.0000
-3.0952 -3.0983 6.2162
Tl Se U Pb
1 4 1 2
Direct
0.5000 0.5000 0.0000 Tl
0.7557 0.7557 0.5114 Se
0.2443 0.2443 0.4886 Se
0.9828 0.4828 0.9656 Se
0.5172 0.0172 0.0344 Se
0.7500 0.2500 0.5000 U
0.2500 0.7500 0.5000 Pb
0.0000 0.0000 0.0000 Pb
```

***

# 3
The following is a GGA-PBE calculation of an optimized crystal structure of La2PbO, from Alexandria.

- energy (eV/atom) = -5.404
- energy relative to the elements, uncorrected (kJ/mol of formula units) = -299
- distance to the lowest polymorph of the same formula (eV per atom) = 1.041
- N(E_F) (states/eV per cell) = 1.1

POSCAR file:
```
La2PbO
1.0
-2.0578 -4.8262 0.8309
-4.8326 -1.1832 -1.8610
-0.5282 -3.3955 -4.0507
Pb La O
1 2 1
Direct
0.5000 0.5000 0.5000 Pb
0.7500 0.7500 0.7500 La
0.2500 0.2500 0.2500 La
0.0000 0.0000 0.0000 O
```

***

# 4
The following is a GGA-PBE calculation of an optimized crystal structure of CrFeCo2Ir, from Alexandria.

- energy (eV/atom) = -6.773
- E_form (kJ/mol of formula units) = 704
- N(E_F) (states/eV per cell) = 6.7

POSCAR file:
```
CrFeCo2Ir
1.0
4.5606 0.0000 0.0000
0.0000 4.5877 0.0000
0.0000 0.0000 4.5606
Ir Co Cr Fe
1 2 1 1
Direct
0.0000 0.0000 0.0000 Ir
0.5000 0.0000 0.0000 Co
0.0000 0.0000 0.5000 Co
0.5000 0.5000 0.5000 Cr
0.0000 0.5000 0.0000 Fe
```

***

# 5
The following is a GGA-PBE calculation of an optimized crystal structure of Rb2Pu3ClF12, from Alexandria.

- energy (eV/atom) = -7.032
- energy relative to the elements, uncorrected (kJ/mol of formula units) = -5532
- N(E_F) (states/eV per cell) = 18.5

POSCAR file:
```
Rb2Pu3ClF12
1.0
7.4934 -0.6011 -0.4263
3.1780 6.8127 -0.4263
3.1780 1.8498 6.5706
F Rb Pu Cl
12 2 3 1
Direct
0.7048 0.1253 0.7048 F
0.7048 0.7048 0.1253 F
0.8376 0.8376 0.4793 F
0.1624 0.1624 0.5207 F
0.1624 0.5207 0.1624 F
0.2952 0.8747 0.2952 F
0.2952 0.2952 0.8747 F
0.5207 0.1624 0.1624 F
0.8376 0.4793 0.8376 F
0.1253 0.7048 0.7048 F
0.4793 0.8376 0.8376 F
0.8747 0.2952 0.2952 F
0.6021 0.6021 0.6021 Rb
0.3979 0.3979 0.3979 Rb
0.0000 0.0000 0.5000 Pu
0.0000 0.5000 0.0000 Pu
0.5000 0.0000 0.0000 Pu
0.0000 0.0000 0.0000 Cl
```

***

# 6
The following is a GGA-PBE calculation of an optimized crystal structure of HfCo2PAu, from Alexandria.

- energy (eV/atom) = -6.463
- E_form (kJ/mol of formula units) = 52
- N(E_F) (states/eV per cell) = 3.7

POSCAR file:
```
HfCo2PAu
1.0
4.1617 0.0000 0.0000
0.0000 4.7016 0.0000
0.0000 0.0000 4.1617
Co Hf Au P
2 1 1 1
Direct
0.0000 0.0000 0.5000 Co
0.5000 0.0000 0.0000 Co
0.5000 0.5000 0.5000 Hf
0.0000 0.5000 0.0000 Au
0.0000 0.0000 0.0000 P
```

***

# 7
The following is a GGA-PBE calculation of an optimized crystal structure of FeSi4Se, from Alexandria.

- energy (eV/atom) = -4.963
- energy relative to the elements, uncorrected (kJ/mol of formula units) = 372
- N(E_F) (states/eV per cell) = 5.8

POSCAR file:
```
FeSi4Se
1.0
0.8052 -4.7115 1.8147
-3.8982 -3.2827 0.4088
-0.2876 -4.0299 -3.1331
Si Se Fe
4 1 1
Direct
0.3750 0.3750 0.8749 Si
0.8749 0.3750 0.3750 Si
0.3750 0.8749 0.3750 Si
0.3750 0.3750 0.3750 Si
0.0000 0.0000 0.0000 Se
0.7500 0.7500 0.7500 Fe
```

***

# 8
The following is a GGA-PBE calculation of an optimized crystal structure of Ca3Ac2Cd3, from Alexandria.

- energy (eV/atom) = -2.325
- E_form (kJ/mol of formula units) = -158
- N(E_F) (states/eV per cell) = 8.4

POSCAR file:
```
Ca3Ac2Cd3
1.0
3.7704 0.0000 -0.7913
-0.2660 5.5634 -1.2675
0.6814 -0.0238 12.6241
Ac Cd Ca
2 3 3
Direct
0.7246 0.2246 0.4491 Ac
0.2754 0.7754 0.5509 Ac
0.0000 0.5000 0.0000 Cd
0.8917 0.8917 0.7833 Cd
0.1083 0.1083 0.2167 Cd
0.5000 0.0000 0.0000 Ca
0.6151 0.6151 0.2303 Ca
0.3849 0.3849 0.7697 Ca
```

***

Computed magnetic moment (μB per atom) in order:
0.00; 0.37; 0.00; 2.41; 0.72; 0.26; 0.57; 0.00